[1]
Entry from Alexandria: KAsI after structural relaxation (PBE).

abc: 9.129 9.789 12.857
angles: 90.00 90.00 90.00
Space group Cmce (No. 64)
Unique sites:
1 K 0.250 0.121 0.250 x8
2 As 0.000 0.102 0.531 x8
3 I 0.000 0.127 0.830 x8

For the uncorrected formation energy, the calculation gives -0.6568 eV per atom. The value obtained for the calculated volume is 47.87 Å³ per atom. Its total energy is -9.27 eV/f.u. The calculation puts the magnetic moment at 0.000 μB/f.u.

=====

[2]
Entry from Alexandria: BaYCuO3 after structural relaxation (PBE).

abc: 3.755 13.403 8.461
angles: 90.00 90.00 90.00
Space group Cmcm (No. 63)
Unique sites:
1 Ba 0.000 0.192 0.250 x4
2 Y 0.000 0.500 0.000 x4
3 Cu 0.000 0.107 0.750 x4
4 O 0.000 0.109 0.535 x8
5 O 0.000 0.437 0.750 x4

For the uncorrected formation energy, the calculation gives -2.3878 eV per atom. The value obtained for the calculated volume is 17.75 Å³ per atom. Its total energy is -41.68 eV/f.u. The calculation puts the magnetic moment at 0.000 μB/f.u.

=====

[3]
Entry from Alexandria: Pr2TeRh after structural relaxation (PBE).

abc: 7.368 4.256 7.955
angles: 90.00 108.04 90.00
Space group C2/m (No. 12)
Unique sites:
1 Pr 0.237 0.000 0.213 x4
2 Te 0.000 0.000 0.500 x2
3 Rh 0.000 0.500 0.000 x2

For the uncorrected formation energy, the calculation gives -0.9982 eV per atom. The value obtained for the calculated volume is 29.66 Å³ per atom. The energy relative to the lowest polymorph listed for this composition comes out at 0.000 eV per atom. Its total energy is -24.05 eV/f.u. The calculation puts the magnetic moment at 0.000 μB/f.u.

=====

[4]
Entry from Alexandria: Li2BiHAu after structural relaxation (PBE).

abc: 4.298 4.298 4.453
angles: 90.00 90.00 90.00
Space group P4/mmm (No. 123)
Unique sites:
1 Li 0.000 0.500 0.000 x2
2 Bi 0.000 0.000 0.500 x1
3 H 0.000 0.000 0.000 x1
4 Au 0.500 0.500 0.500 x1

The value obtained for the calculated volume is 16.45 Å³ per atom. The energy relative to the lowest polymorph listed for this composition comes out at 0.140 eV per atom. Its total energy is -15.29 eV/f.u. The calculation puts the magnetic moment at 0.000 μB/f.u.

=====

[5]
Entry from Alexandria: HPdSe2 after structural relaxation (PBE).

abc: 5.509 5.509 9.153
angles: 90.00 90.00 90.00
Space group I-42d (No. 122)
Unique sites:
1 H 0.000 0.000 0.000 x4
2 Pd 0.000 0.000 0.500 x4
3 Se 0.195 0.250 0.125 x8

The value obtained for the calculated volume is 17.36 Å³ per atom. The energy relative to the lowest polymorph listed for this composition comes out at 0.439 eV per atom. Its total energy is -14.48 eV/f.u. The calculation puts the magnetic moment at 0.000 μB/f.u.

=====

[6]
Entry from Alexandria: Pm5NdY after structural relaxation (PBE).

abc: 5.908 8.765 12.098
angles: 90.00 90.00 90.00
Space group Immm (No. 71)
Unique sites:
1 Pm 0.000 0.000 0.000 x2
2 Pm 0.000 0.177 0.500 x4
3 Pm 0.000 0.500 0.252 x4
4 Nd 0.000 0.500 0.500 x2
5 Y 0.000 0.500 0.000 x2

The value obtained for the calculated volume is 44.75 Å³ per atom. The energy relative to the lowest polymorph listed for this composition comes out at 0.832 eV per atom. Its total energy is -28.06 eV/f.u. The value obtained for the energy relative to the elements is 0.990 eV per atom. The calculation puts the magnetic moment at 0.000 μB/f.u.

=====

[7]
Entry from Alexandria: Mg3BiIr after structural relaxation (PBE).

abc: 4.992 4.992 4.992
angles: 90.00 90.00 90.00
Space group Pm-3m (No. 221)
Unique sites:
1 Mg 0.000 0.000 0.500 x3
2 Bi 0.500 0.500 0.500 x1
3 Ir 0.000 0.000 0.000 x1

The value obtained for the calculated volume is 24.88 Å³ per atom. The energy relative to the lowest polymorph listed for this composition comes out at 0.238 eV per atom. Its total energy is -17.50 eV/f.u. The value obtained for the energy relative to the elements is 0.005 eV per atom. The calculation puts the magnetic moment at 0.000 μB/f.u.

=====

[8]
Entry from Alexandria: CeTmAlNi after structural relaxation (PBE).

abc: 7.039 7.039 7.039
angles: 90.00 90.00 90.00
Space group F-43m (No. 216)
Unique sites:
1 Ce 0.000 0.000 0.000 x4
2 Tm 0.000 0.000 0.500 x4
3 Al 0.250 0.250 0.750 x4
4 Ni 0.250 0.250 0.250 x4

The value obtained for the calculated volume is 21.80 Å³ per atom. Its total energy is -20.89 eV/f.u. The value obtained for the energy relative to the elements is -0.241 eV per atom. The calculation puts the magnetic moment at 0.292 μB/f.u.

=====

[9]
Entry from Alexandria: La2Tb6Ho3Sc after structural relaxation (PBE).

abc: 6.157 10.668 11.816
angles: 90.00 100.01 90.00
Space group C2/m (No. 12)
Unique sites:
1 La 0.000 0.166 0.000 x4
2 Tb 0.246 0.500 0.747 x4
3 Tb 0.249 0.335 0.253 x8
4 Ho 0.000 0.000 0.500 x2
5 Ho 0.000 0.334 0.500 x4
6 Sc 0.000 0.500 0.000 x2

The value obtained for the calculated volume is 31.85 Å³ per atom. Its total energy is -57.35 eV/f.u. The value obtained for the energy relative to the elements is 0.030 eV per atom. The calculation puts the magnetic moment at 0.000 μB/f.u.

=====

[10]
Entry from Alexandria: Cr2NiPb after structural relaxation (PBE).

abc: 4.028 4.028 7.718
angles: 90.00 90.00 90.00
Space group I-4m2 (No. 119)
Unique sites:
1 Cr 0.000 0.000 0.000 x2
2 Cr 0.000 0.500 0.250 x2
3 Ni 0.000 0.500 0.750 x2
4 Pb 0.000 0.000 0.500 x2

The value obtained for the calculated volume is 15.65 Å³ per atom. Its total energy is -27.22 eV/f.u. The value obtained for the energy relative to the elements is 0.379 eV per atom. The calculation puts the magnetic moment at 0.187 μB/f.u.

=====

[11]
Entry from Alexandria: SrCa2ZnPd after structural relaxation (PBE).

abc: 5.590 5.590 5.110
angles: 90.00 90.00 90.00
Space group P4/mmm (No. 123)
Unique sites:
1 Sr 0.000 0.000 0.000 x1
2 Ca 0.000 0.500 0.500 x2
3 Zn 0.500 0.500 0.000 x1
4 Pd 0.500 0.500 0.500 x1

The value obtained for the calculated volume is 31.93 Å³ per atom. The energy relative to the lowest polymorph listed for this composition comes out at 0.000 eV per atom. Its total energy is -13.35 eV/f.u. The value obtained for the energy relative to the elements is -0.241 eV per atom. The calculation puts the magnetic moment at 0.000 μB/f.u.

=====

[12]
Entry from Alexandria: CrIn2Te after structural relaxation (PBE).

abc: 3.167 4.758 13.270
angles: 90.00 90.00 90.00
Space group Imm2 (No. 44)
Unique sites:
1 Cr 0.000 0.000 0.000 x2
2 In 0.000 0.000 0.516 x2
3 In 0.000 0.500 0.685 x2
4 Te 0.000 0.500 0.331 x2

For the uncorrected formation energy, the calculation gives 0.1870 eV per atom. The value obtained for the calculated volume is 25.00 Å³ per atom. Its total energy is -17.49 eV/f.u. The calculation puts the magnetic moment at 2.823 μB/f.u.